No. 1
TlNiPd2Cl: optimized geometry, PBE.

a = 4.489 Å, b = 4.489 Å, c = 5.748 Å
α = 90.00°, β = 90.00°, γ = 90.00°
Element x y z (fractional)
Tl1 0.000 0.000 0.000
Ni1 0.500 0.500 0.000
Pd1 0.000 0.500 0.500
Pd2 0.500 0.000 0.500
Cl1 0.000 0.000 0.500

- E_form (uncorrected): 0.719 eV/atom
- Total moment: 0.51 μB/cell


No. 2
Tl2NiPdCl6: optimized geometry, PBE.

a = 6.924 Å, b = 6.924 Å, c = 6.924 Å
α = 120.06°, β = 120.06°, γ = 89.90°
Element x y z (fractional)
Tl1 0.250 0.750 0.500
Tl2 0.750 0.250 0.500
Ni1 0.000 0.000 0.000
Pd1 0.500 0.500 0.000
Cl1 0.242 0.242 0.000
Cl2 0.244 0.244 0.488
Cl3 0.244 0.756 0.000
Cl4 0.756 0.244 0.000
Cl5 0.756 0.756 0.512
Cl6 0.758 0.758 0.000

- E_form (uncorrected): -0.683 eV/atom
- Total moment: 0.19 μB/cell


No. 3
Tl3NiPd2Cl9: optimized geometry, PBE.

a = 6.950 Å, b = 6.950 Å, c = 8.530 Å
α = 90.00°, β = 90.00°, γ = 120.00°
Element x y z (fractional)
Tl1 0.000 0.000 0.000
Tl2 0.333 0.667 0.663
Tl3 0.667 0.333 0.337
Ni1 0.000 0.000 0.500
Pd1 0.333 0.667 0.171
Pd2 0.667 0.333 0.829
Cl1 0.000 0.500 0.000
Cl2 0.161 0.323 0.339
Cl3 0.161 0.839 0.339
Cl4 0.323 0.161 0.661
Cl5 0.500 0.000 0.000
Cl6 0.500 0.500 0.000
Cl7 0.677 0.839 0.339
Cl8 0.839 0.161 0.661
Cl9 0.839 0.677 0.661

- E_form (uncorrected): -0.677 eV/atom
- Total moment: 0.36 μB/cell


No. 4
PmNiCl: optimized geometry, PBE.

a = 10.998 Å, b = 10.998 Å, c = 10.998 Å
α = 21.10°, β = 21.10°, γ = 21.10°
Element x y z (fractional)
Pm1 0.059 0.059 0.059
Pm2 0.941 0.941 0.941
Ni1 0.339 0.339 0.339
Ni2 0.661 0.661 0.661
Cl1 0.220 0.220 0.220
Cl2 0.780 0.780 0.780

- E_form (uncorrected): -1.223 eV/atom
- Total moment: 0.00 μB/cell


No. 5
PmNiCl: optimized geometry, PBE.

a = 4.027 Å, b = 4.027 Å, c = 10.789 Å
α = 91.48°, β = 91.48°, γ = 60.04°
Element x y z (fractional)
Pm1 0.008 0.008 0.177
Pm2 0.992 0.992 0.823
Ni1 0.334 0.334 0.018
Ni2 0.666 0.666 0.982
Cl1 0.318 0.318 0.662
Cl2 0.682 0.682 0.338

- E_form (uncorrected): -1.223 eV/atom
- Total moment: 0.00 μB/cell


No. 6
PmNiCl6: optimized geometry, PBE.

a = 6.230 Å, b = 6.235 Å, c = 6.728 Å
α = 62.75°, β = 66.10°, γ = 63.67°
Element x y z (fractional)
Pm1 0.000 0.000 0.000
Ni1 0.500 0.500 0.500
Cl1 0.115 0.725 0.737
Cl2 0.284 0.557 0.271
Cl3 0.433 0.124 0.728
Cl4 0.567 0.876 0.272
Cl5 0.716 0.443 0.729
Cl6 0.885 0.275 0.263

- E_form (uncorrected): -1.240 eV/atom
- Total moment: 1.00 μB/cell


No. 7
Pm4Ni2Cl5: optimized geometry, PBE.

a = 10.034 Å, b = 10.034 Å, c = 10.034 Å
α = 158.16°, β = 131.35°, γ = 53.92°
Element x y z (fractional)
Pm1 0.200 0.200 0.000
Pm2 0.222 0.500 0.722
Pm3 0.778 0.500 0.278
Pm4 0.800 0.800 0.000
Ni1 0.062 0.062 0.000
Ni2 0.938 0.938 0.000
Cl1 0.102 0.330 0.773
Cl2 0.443 0.670 0.773
Cl3 0.500 0.000 0.500
Cl4 0.557 0.330 0.227
Cl5 0.898 0.670 0.227

- E_form (uncorrected): -1.314 eV/atom
- Total moment: 0.84 μB/cell


No. 8
Pm6Ni2PtCl3: optimized geometry, PBE.

a = 7.060 Å, b = 7.060 Å, c = 7.762 Å
α = 98.60°, β = 98.60°, γ = 120.14°
Element x y z (fractional)
Pm1 0.089 0.433 0.796
Pm2 0.222 0.222 0.203
Pm3 0.433 0.089 0.796
Pm4 0.567 0.911 0.204
Pm5 0.778 0.778 0.797
Pm6 0.911 0.567 0.204
Ni1 0.167 0.833 0.000
Ni2 0.833 0.167 0.000
Pt1 0.500 0.500 0.000
Cl1 0.000 0.000 0.500
Cl2 0.328 0.672 0.500
Cl3 0.672 0.328 0.500

- E_form (uncorrected): -1.057 eV/atom
- Total moment: 0.00 μB/cell


No. 9
Pm6NiRh2Cl3: optimized geometry, PBE.

a = 9.719 Å, b = 9.719 Å, c = 8.839 Å
α = 109.79°, β = 109.79°, γ = 24.08°
Element x y z (fractional)
Pm1 0.009 0.009 0.220
Pm2 0.322 0.322 0.444
Pm3 0.345 0.345 0.896
Pm4 0.655 0.655 0.104
Pm5 0.678 0.678 0.556
Pm6 0.991 0.991 0.780
Ni1 0.500 0.500 0.000
Rh1 0.165 0.165 0.328
Rh2 0.835 0.835 0.672
Cl1 0.166 0.166 0.833
Cl2 0.500 0.500 0.500
Cl3 0.834 0.834 0.167

- E_form (uncorrected): -1.091 eV/atom
- Total moment: 0.00 μB/cell


No. 10
Pm6Ni2RhCl3: optimized geometry, PBE.

a = 9.663 Å, b = 9.663 Å, c = 8.800 Å
α = 109.79°, β = 109.79°, γ = 24.07°
Element x y z (fractional)
Pm1 0.013 0.013 0.229
Pm2 0.325 0.325 0.439
Pm3 0.342 0.342 0.880
Pm4 0.658 0.658 0.120
Pm5 0.675 0.675 0.561
Pm6 0.987 0.987 0.771
Ni1 0.169 0.169 0.343
Ni2 0.831 0.831 0.657
Rh1 0.500 0.500 0.000
Cl1 0.167 0.167 0.832
Cl2 0.500 0.500 0.500
Cl3 0.833 0.833 0.168

- E_form (uncorrected): -1.002 eV/atom
- Total moment: 0.00 μB/cell


No. 11
Pm6Ni2RuCl3: optimized geometry, PBE.

a = 9.676 Å, b = 9.676 Å, c = 8.815 Å
α = 110.75°, β = 110.75°, γ = 23.97°
Element x y z (fractional)
Pm1 0.010 0.010 0.225
Pm2 0.326 0.326 0.440
Pm3 0.345 0.345 0.886
Pm4 0.655 0.655 0.114
Pm5 0.674 0.674 0.560
Pm6 0.990 0.990 0.775
Ni1 0.171 0.171 0.345
Ni2 0.829 0.829 0.655
Ru1 0.500 0.500 0.000
Cl1 0.166 0.166 0.832
Cl2 0.500 0.500 0.500
Cl3 0.834 0.834 0.168

- E_form (uncorrected): -0.928 eV/atom
- Total moment: 0.00 μB/cell


No. 12
Pm4NiSCl2: optimized geometry, PBE.

a = 7.174 Å, b = 3.934 Å, c = 7.359 Å
α = 90.00°, β = 108.01°, γ = 90.00°
Element x y z (fractional)
Pm1 0.222 0.000 0.213
Pm2 0.260 0.500 0.782
Pm3 0.740 0.500 0.218
Pm4 0.778 0.000 0.787
Ni1 0.000 0.500 0.000
S1 0.500 0.000 0.000
Cl1 0.000 0.000 0.500
Cl2 0.500 0.500 0.500

- E_form (uncorrected): -1.323 eV/atom
- Total moment: 0.00 μB/cell